No. 1
VASP calculation (meta-GGA SCAN) on CsMgH12Cl3O6 at its PBEsol-relaxed geometry.

Structure (extended XYZ):
```
46
Lattice="6.688 0.049 -0.016 0.119 6.689 -0.002 -0.017 0.056 13.361" Properties=species:S:1:pos:R:3 pbc="T T T"
Cs 6.729 6.689 13.335
Cs 0.132 0.142 6.672
Mg 3.427 3.414 9.994
Mg 3.441 3.386 3.315
H 5.706 5.024 9.689
H 5.708 3.856 8.618
H 1.795 3.783 7.744
H 3.051 4.765 7.651
H 3.765 1.108 8.368
H 4.811 1.115 9.564
H 3.091 5.718 11.623
H 2.040 5.711 10.432
H 3.808 2.061 12.337
H 5.061 3.045 12.243
H 1.146 2.976 11.371
H 1.147 1.805 10.305
H 5.727 1.978 2.888
H 5.739 3.019 1.689
H 3.791 1.763 5.572
H 4.786 3.008 5.661
H 3.088 5.008 1.057
H 2.093 3.763 0.970
H 1.143 3.754 4.942
H 1.158 4.800 3.748
H 5.072 5.652 3.611
H 3.900 5.671 4.677
H 2.981 1.102 1.950
H 1.814 1.119 3.021
Cl 3.309 0.151 0.032
Cl 3.569 6.620 6.596
Cl 0.207 3.319 13.290
Cl 6.651 3.512 6.700
Cl 0.021 0.045 10.013
Cl 0.039 0.020 3.332
O 5.252 4.180 9.436
O 2.655 4.025 8.175
O 4.031 1.595 9.189
O 2.822 5.232 10.803
O 4.201 2.803 11.813
O 1.599 2.651 10.553
O 5.256 2.764 2.515
O 4.039 2.621 5.141
O 2.840 4.151 1.489
O 1.627 4.010 4.117
O 4.220 5.211 3.861
O 2.663 1.562 2.767
```

Symmetry   P1
Spin magnetization   0.00 μB/atom
Fermi-level density of states   0.00 states/eV/cell
Energy   -7.659 eV/atom

---

No. 2
VASP calculation (meta-GGA SCAN) on Cs5Te3H4NCl18 at its PBEsol-relaxed geometry.

Structure (extended XYZ):
```
31
Lattice="7.328 0.000 0.000 -3.664 6.346 0.000 0.000 0.000 17.929" Properties=species:S:1:pos:R:3 pbc="T T T"
Cs 3.664 2.115 1.460
Cs 0.000 0.000 7.496
Cs 0.000 4.231 13.467
Cs 0.000 4.231 4.457
Cs 3.664 2.115 10.492
Te 0.000 4.231 17.877
Te 3.664 2.115 5.979
Te 0.000 0.000 12.027
H 6.481 0.489 16.049
H 0.846 0.489 16.049
H 0.000 0.000 17.436
H 3.664 5.369 16.049
N 0.000 0.000 16.399
Cl 0.000 2.142 1.406
Cl 5.461 1.078 4.509
Cl 1.867 1.078 4.509
Cl 1.809 5.275 1.406
Cl -1.869 5.310 10.548
Cl 3.664 0.039 7.451
Cl 3.664 4.191 4.509
Cl -1.809 5.275 1.406
Cl 1.869 5.310 10.548
Cl 5.462 3.153 7.451
Cl 1.804 3.189 16.422
Cl 3.664 4.277 13.502
Cl 0.000 2.072 10.548
Cl 1.866 3.153 7.451
Cl -1.804 3.189 16.422
Cl 1.792 1.035 13.502
Cl 0.000 6.314 16.422
Cl 5.536 1.035 13.502
```

Symmetry   P3m1
Spin magnetization   0.00 μB/atom
Fermi-level density of states   0.00 states/eV/cell
Energy   -16.342 eV/atom

---

No. 3
VASP calculation (meta-GGA SCAN) on CsNa2H4Cl3O2 at its PBEsol-relaxed geometry.

Structure (extended XYZ):
```
24
Lattice="5.774 0.004 0.005 2.882 8.379 -0.067 2.878 1.926 8.429" Properties=species:S:1:pos:R:3 pbc="T T T"
Cs 4.317 0.965 4.204
Cs 10.085 6.118 8.390
Na 8.645 5.156 4.174
Na 8.644 1.928 8.421
Na 6.696 3.541 6.297
Na 4.817 6.767 2.047
H 7.172 6.473 6.394
H 1.458 1.320 2.207
H 4.344 3.834 1.951
H 10.058 8.988 6.134
H 6.090 6.221 5.306
H 2.543 1.068 1.123
H 5.426 4.087 3.038
H 8.974 9.238 7.221
Cl 7.329 8.102 7.746
Cl 7.072 2.952 3.567
Cl 4.189 2.204 0.598
Cl 4.445 7.356 4.777
Cl 3.875 3.539 6.294
Cl 7.640 6.768 2.049
O 6.911 5.808 5.700
O 1.721 0.654 1.515
O 4.605 4.500 2.644
O 9.795 9.653 6.828
```

Symmetry   C2/c
Spin magnetization   0.01 μB/atom
Fermi-level density of states   0.00 states/eV/cell
Energy   -9.609 eV/atom

---

No. 4
VASP calculation (meta-GGA SCAN) on Cs3HfCl at its PBEsol-relaxed geometry.

Structure (extended XYZ):
```
5
Lattice="-0.819 -3.035 -6.075 6.790 -0.280 -0.776 0.096 -6.124 3.047" Properties=species:S:1:pos:R:3 pbc="T T T"
Cs 3.395 -0.140 -0.388
Cs 0.048 -3.062 1.523
Cs -0.410 -1.518 -3.038
Hf 0.000 0.000 0.000
Cl 3.034 -4.719 -1.902
```

Symmetry   Pm-3m
Spin magnetization   0.81 μB/atom
Fermi-level density of states   4.34 states/eV/cell
Uncorrected formation energy   0.484 eV per atom
Energy   -36.332 eV/atom

---

No. 5
VASP calculation (meta-GGA SCAN) on CsHfTl2Cl at its PBEsol-relaxed geometry.

Structure (extended XYZ):
```
5
Lattice="-4.251 2.255 1.480 -0.622 -3.887 4.134 2.995 3.308 3.561" Properties=species:S:1:pos:R:3 pbc="T T T"
Cs -0.939 0.838 4.588
Tl 1.497 1.654 1.780
Tl -0.311 -1.944 2.067
Hf 0.000 0.000 0.000
Cl -2.125 1.127 0.740
```

Symmetry   P4/mmm
Spin magnetization   0.00 μB/atom
Fermi-level density of states   3.91 states/eV/cell
Uncorrected formation energy   -0.352 eV per atom
Energy   -50.987 eV/atom

---

No. 6
VASP calculation (meta-GGA SCAN) on Cs2Hg2Cl at its PBEsol-relaxed geometry.

Structure (extended XYZ):
```
5
Lattice="-0.209 1.329 -4.005 -4.164 -0.715 -0.020 0.532 9.230 5.263" Properties=species:S:1:pos:R:3 pbc="T T T"
Cs -1.338 7.715 2.629
Cs -2.502 2.128 -1.392
Hg -2.909 4.411 1.615
Hg -0.932 5.433 -0.378
Cl 0.000 0.000 0.000
```

Symmetry   I4/mmm
Spin magnetization   0.00 μB/atom
Fermi-level density of states   1.46 states/eV/cell
Uncorrected formation energy   -1.014 eV per atom
Energy   -45.000 eV/atom

---

No. 7
VASP calculation (meta-GGA SCAN) on Cs2HgCl4 at its PBEsol-relaxed geometry.

Structure (extended XYZ):
```
28
Lattice="7.454 0.000 0.000 0.000 9.679 0.000 0.000 0.000 13.802" Properties=species:S:1:pos:R:3 pbc="T T T"
Cl 3.815 8.993 5.603
Cl 7.366 0.686 12.504
Cl 3.639 4.154 1.298
Cl 0.088 5.525 8.199
Cl 4.228 2.815 7.845
Cl 6.952 6.864 0.944
Cl 3.225 7.654 12.858
Cl 0.501 2.025 5.957
Cl 5.654 8.862 9.023
Cl 5.527 0.817 2.123
Cl 1.800 4.022 11.679
Cl 1.927 5.657 4.778
Cl 1.759 9.045 8.907
Cl 1.968 0.634 2.006
Cl 5.695 4.206 11.796
Cl 5.485 5.473 4.895
Cs 7.350 2.262 9.425
Cs 3.830 7.416 2.524
Cs 0.103 7.102 11.278
Cs 3.623 2.577 4.377
Cs 0.058 3.516 0.919
Cs 3.669 6.163 7.820
Cs 7.396 8.356 5.982
Cs 3.785 1.323 12.883
Hg 7.426 9.254 0.991
Hg 3.755 0.425 7.892
Hg 0.028 4.415 5.910
Hg 3.699 5.264 12.811
```

Symmetry   P2_12_12_1
Spin magnetization   0.00 μB/atom
Fermi-level density of states   0.00 states/eV/cell
ΔE to the lowest computed polymorph   2.1 meV per atom
Uncorrected formation energy   -1.579 eV per atom
Energy   -26.679 eV/atom

---

No. 8
VASP calculation (meta-GGA SCAN) on Cs2HgCl4 at its PBEsol-relaxed geometry.

Structure (extended XYZ):
```
56
Lattice="7.424 0.000 0.000 0.000 9.591 -0.079 0.000 -0.411 27.230" Properties=species:S:1:pos:R:3 pbc="T T T"
Cs 1.863 5.630 19.405
Cs 5.575 3.345 21.362
Cs 5.560 3.550 7.747
Cs 1.848 5.835 5.790
Cs 1.867 9.196 22.982
Cs 5.579 -0.222 17.785
Cs 5.557 -0.016 4.169
Cs 1.845 9.402 9.367
Cs 5.381 8.257 11.939
Cs 1.670 1.128 1.598
Cs 2.042 0.923 15.213
Cs 5.754 8.052 25.554
Cs 5.908 4.697 15.968
Cs 2.196 4.277 24.799
Cs 1.515 4.483 11.183
Cs 5.227 4.903 2.353
Hg 1.977 1.594 19.446
Hg 5.689 7.380 21.321
Hg 5.446 7.585 7.706
Hg 1.735 1.800 5.831
Hg 5.388 2.534 12.515
Hg 1.677 6.851 1.021
Hg 2.035 6.645 14.637
Hg 5.747 2.329 26.130
Cl 2.794 8.917 19.681
Cl 6.506 0.058 21.086
Cl 4.630 0.263 7.471
Cl 0.918 9.122 6.065
Cl 1.860 2.879 21.632
Cl 5.572 6.095 19.135
Cl 5.563 6.301 5.519
Cl 1.852 3.085 8.017
Cl 3.825 2.772 18.104
Cl 0.113 6.202 22.663
Cl 3.599 6.408 9.048
Cl 7.311 2.978 4.489
Cl 3.658 2.796 4.650
Cl 7.370 6.589 8.887
Cl 3.765 6.384 22.502
Cl 0.054 2.590 18.265
Cl 5.630 4.977 12.532
Cl 1.918 4.409 1.005
Cl 1.794 4.203 14.620
Cl 5.506 4.771 26.147
Cl 6.018 1.409 14.670
Cl 2.306 7.565 26.097
Cl 1.406 7.770 12.481
Cl 5.117 1.615 1.055
Cl 6.727 1.697 10.553
Cl 3.015 7.688 2.984
Cl 0.697 7.483 16.599
Cl 4.409 1.492 24.168
Cl 0.570 1.316 25.660
Cl 4.282 7.659 15.107
Cl 6.853 7.864 1.492
Cl 3.142 1.521 12.044
```

Symmetry   P2_1/c
Spin magnetization   0.00 μB/atom
Fermi-level density of states   0.00 states/eV/cell
ΔE to the lowest computed polymorph   0.0 meV per atom
Uncorrected formation energy   -1.581 eV per atom
Energy   -26.681 eV/atom